This record from the Alexandria database describes a geometry-optimized CsLi2IBr2 structure. The functional is PBE-GGA.

Calculated values
E_tot = -37.38 eV/cell
size of the total moment = 0.00 μB per formula unit
formation energy without anion corrections = -1.5190 eV per atom
density of states at the Fermi level = 0.000 states/eV/atom

a = 6.3137 Å, b = 8.1307 Å, c = 8.8350 Å
α = 104.21°, β = 90.00°, γ = 90.00°
Closest atoms and distances in Å follow each position.
Fractional coordinates of all 12 atoms:
Cs (0.7500, 0.3277, 0.6538)  6 Br 3.72-3.99
Cs (0.2500, 0.6723, 0.3462)  6 Br 3.72-3.99
Li (0.5006, 0.1480, 0.1799)  2 Br 2.47
Li (0.9994, 0.1480, 0.1799)  2 Br 2.47
Li (0.0006, 0.8520, 0.8201)  2 Br 2.47
Li (0.4994, 0.8520, 0.8201)  2 Br 2.47
I (0.2500, 0.1478, 0.9151)  4 Li 2.82
I (0.7500, 0.8522, 0.0849)  4 Li 2.82
Br (0.2500, 0.1397, 0.3922)  2 Li 2.47
Br (0.2500, 0.6104, 0.7554)  2 Li 2.47
Br (0.7500, 0.8603, 0.6078)  2 Li 2.47
Br (0.7500, 0.3896, 0.2446)  2 Li 2.47

***

This record from the Alexandria database describes a geometry-optimized NpPdPt2 structure. The functional is PBE-GGA.

Calculated values
energy of formation from the pure elements = -0.5116 eV per atom
E_tot = -32.26 eV/cell
size of the total moment = 3.07 μB per formula unit
density of states at the Fermi level = 2.630 states/eV/atom

a = 4.1614 Å, b = 4.1614 Å, c = 5.0827 Å
α = 114.17°, β = 114.16°, γ = 90.00°
Closest atoms and distances in Å follow each position.
Fractional coordinates of all 4 atoms:
Np (0.5000, 0.5000, 0.0000)  8 Pt 2.94, 4 Pd 2.94
Pd (0.0000, 0.0000, 0.0000)  8 Pt 2.94, 4 Np 2.94
Pt (0.2500, 0.7500, 0.5000)  4 Pd 2.94, 4 Np 2.94, 4 Pt 2.94
Pt (0.7500, 0.2500, 0.5000)  4 Pd 2.94, 4 Np 2.94, 4 Pt 2.94